(1)
An optimized crystal structure of CaPm12Ho3, computed with PBE-GGA.

The structure in POSCAR format:
```
CaPm12Ho3
1.0
-0.667 -1.271 4.940
-1.843 -4.586 -1.428
19.005 -7.813 0.557
Ho Pm Ca
3 12 1
direct
0.000 0.000 0.252
0.000 0.000 0.500
0.000 0.000 0.748
0.000 0.500 0.130
0.500 0.500 0.749
0.500 0.500 0.251
0.500 0.000 0.376
0.000 0.500 0.624
0.000 0.500 0.870
0.500 0.000 0.624
0.500 0.000 0.130
0.000 0.500 0.376
0.500 0.000 0.870
0.500 0.500 0.500
0.500 0.500 0.000
0.000 0.000 0.000
```

Computed properties:
**SG**: P4/mmm
**Energy relative to the elements**: 0.49 eV per formula unit
**Total magnetization**: 0.0 μB per formula unit
**Total DFT energy (no corrections)**: -4.516 eV per atom
**Theoretical density**: 6944 kg/m3



(2)
An optimized crystal structure of CaPmHo, computed with PBE-GGA.

The structure in POSCAR format:
```
CaPmHo
1.0
3.666 0.000 0.000
0.000 3.666 0.000
-1.833 -1.833 7.830
Ho Pm Ca
1 1 1
direct
0.675 0.675 0.350
0.323 0.323 0.647
0.002 0.002 0.003
```

Computed properties:
**SG**: I4mm
**Energy relative to the elements**: 0.16 eV per formula unit
**Total magnetization**: 0.0 μB per formula unit
**Offset from the most stable computed form**: 18 meV per atom
**Total DFT energy (no corrections)**: -3.723 eV per atom
**Theoretical density**: 5522 kg/m3



(3)
An optimized crystal structure of CaPm5Ho2, computed with PBE-GGA.

The structure in POSCAR format:
```
CaPm5Ho2
1.0
-0.559 -2.463 -2.604
5.961 2.536 -6.205
6.645 -5.823 1.554
Pm Ca Ho
5 1 2
direct
0.634 0.140 0.592
0.000 0.500 0.500
0.366 0.860 0.408
0.634 0.592 0.140
0.366 0.408 0.860
0.000 0.000 0.000
0.743 0.757 0.757
0.257 0.243 0.243
```

Computed properties:
**SG**: Immm
**Energy relative to the elements**: 0.35 eV per formula unit
**Total magnetization**: 0.0 μB per formula unit
**Total DFT energy (no corrections)**: -4.320 eV per atom
**Theoretical density**: 6572 kg/m3



(4)
An optimized crystal structure of CaPmHo2, computed with PBE-GGA.

The structure in POSCAR format:
```
CaPmHo2
1.0
-0.689 -2.448 2.604
-1.192 -2.343 -2.518
9.577 -3.780 -1.019
Pm Ca Ho
1 1 2
direct
0.500 0.500 0.000
0.500 0.500 0.500
0.000 0.000 0.233
0.000 0.000 0.767
```

Computed properties:
**SG**: P4/mmm
**Energy relative to the elements**: 0.32 eV per formula unit
**Total magnetization**: 0.0 μB per formula unit
**Offset from the most stable computed form**: 14 meV per atom
**Total DFT energy (no corrections)**: -3.898 eV per atom
**Theoretical density**: 6238 kg/m3



(5)
An optimized crystal structure of CaPmHo, computed with PBE-GGA.

The structure in POSCAR format:
```
CaPmHo
1.0
-4.449 1.195 1.802
-1.892 -4.149 -1.919
1.898 -4.373 7.585
Ho Pm Ca
2 2 2
direct
0.000 0.500 0.721
0.500 0.000 0.279
0.500 0.500 0.000
0.000 0.000 0.000
0.000 0.500 0.327
0.500 0.000 0.673
```

Computed properties:
**SG**: P4/nmm
**Energy relative to the elements**: 0.81 eV per formula unit
**Total magnetization**: 0.0 μB per formula unit
**Offset from the most stable computed form**: 236 meV per atom
**Total DFT energy (no corrections)**: -3.505 eV per atom
**Theoretical density**: 5302 kg/m3



(6)
An optimized crystal structure of Ca2Pm2Ho, computed with PBE-GGA.

The structure in POSCAR format:
```
Ca2Pm2Ho
1.0
-3.547 0.023 0.961
-1.462 -2.911 1.702
3.750 6.117 13.673
Ca Pm Ho
2 2 1
direct
0.334 0.334 0.607
0.666 0.666 0.393
0.334 0.334 0.184
0.666 0.666 0.816
0.000 0.000 0.000
```

Computed properties:
**SG**: P-3m1
**Energy relative to the elements**: 0.21 eV per formula unit
**Total magnetization**: 0.0 μB per formula unit
**Offset from the most stable computed form**: 0 meV per atom
**Total DFT energy (no corrections)**: -3.575 eV per atom
**Theoretical density**: 4919 kg/m3



(7)
An optimized crystal structure of CaPmHo2, computed with PBE-GGA.

The structure in POSCAR format:
```
CaPmHo2
1.0
3.612 0.000 0.000
1.806 3.128 0.000
1.806 1.043 12.013
Ho Ca Pm
2 1 1
direct
0.254 0.254 0.238
0.079 0.079 0.762
0.501 0.501 0.498
0.666 0.666 0.002
```

Computed properties:
**SG**: R3m
**Energy relative to the elements**: 0.26 eV per formula unit
**Total magnetization**: 0.0 μB per formula unit
**Offset from the most stable computed form**: 0 meV per atom
**Total DFT energy (no corrections)**: -3.912 eV per atom
**Theoretical density**: 6301 kg/m3



(8)
An optimized crystal structure of Ca2Pm4Ho, computed with PBE-GGA.

The structure in POSCAR format:
```
Ca2Pm4Ho
1.0
5.735 0.000 0.000
0.000 5.735 0.000
-2.867 -2.867 8.962
Pm Ho Ca
4 1 2
direct
0.000 0.500 0.000
0.500 0.000 0.000
0.172 0.172 0.343
0.828 0.828 0.657
0.000 0.000 0.000
0.627 0.627 0.255
0.373 0.373 0.745
```

Computed properties:
**SG**: I4/mmm
**Energy relative to the elements**: 4.16 eV per formula unit
**Total magnetization**: 0.5 μB per formula unit
**Offset from the most stable computed form**: 467 meV per atom
**Total DFT energy (no corrections)**: -3.346 eV per atom
**Theoretical density**: 4649 kg/m3



(9)
An optimized crystal structure of CaPm12Ho6, computed with PBE-GGA.

The structure in POSCAR format:
```
CaPm12Ho6
1.0
8.753 -0.109 -1.162
-1.312 8.655 -1.162
-0.095 -0.109 8.829
Pm Ho Ca
12 6 1
direct
0.761 0.239 0.500
0.239 0.500 0.761
0.500 0.239 0.761
0.642 0.914 0.642
0.358 0.358 0.086
0.642 0.642 0.914
0.914 0.642 0.642
0.086 0.358 0.358
0.761 0.500 0.239
0.239 0.761 0.500
0.358 0.086 0.358
0.500 0.761 0.239
0.099 0.099 0.656
0.901 0.344 0.901
0.099 0.656 0.099
0.656 0.099 0.099
0.344 0.901 0.901
0.901 0.901 0.344
0.000 0.000 0.000
```

Computed properties:
**SG**: R-3m
**Energy relative to the elements**: 3.56 eV per formula unit
**Total magnetization**: 0.0 μB per formula unit
**Total DFT energy (no corrections)**: -4.364 eV per atom
**Theoretical density**: 6912 kg/m3



(10)
An optimized crystal structure of CaPm14Ho, computed with PBE-GGA.

The structure in POSCAR format:
```
CaPm14Ho
1.0
-6.044 -3.611 -0.824
2.501 -2.190 6.260
-5.676 8.320 5.177
Pm Ca Ho
14 1 1
direct
0.837 0.592 0.757
0.046 0.360 0.000
0.640 0.954 0.000
0.342 0.658 0.238
0.408 0.163 0.757
0.202 0.384 0.500
0.616 0.798 0.500
0.913 0.087 0.268
0.127 0.873 0.000
0.342 0.658 0.762
0.550 0.450 0.000
0.913 0.087 0.732
0.408 0.163 0.243
0.837 0.592 0.243
0.686 0.314 0.500
0.132 0.868 0.500
```

Computed properties:
**SG**: Amm2
**Energy relative to the elements**: 1.09 eV per formula unit
**Total magnetization**: 0.0 μB per formula unit
**Total DFT energy (no corrections)**: -4.500 eV per atom
**Theoretical density**: 6730 kg/m3



(11)
An optimized crystal structure of CaPmHo2, computed with PBE-GGA.

The structure in POSCAR format:
```
CaPmHo2
1.0
5.761 0.000 0.000
2.880 4.989 0.000
2.880 1.663 4.704
Ho Ca Pm
2 1 1
direct
0.750 0.750 0.750
0.250 0.250 0.250
0.500 0.500 0.500
0.000 0.000 0.000
```

Computed properties:
**SG**: Fm-3m
**Energy relative to the elements**: 0.70 eV per formula unit
**Total magnetization**: 0.3 μB per formula unit
**Offset from the most stable computed form**: 111 meV per atom
**Total DFT energy (no corrections)**: -3.801 eV per atom
**Theoretical density**: 6325 kg/m3



(12)
An optimized crystal structure of CaPm2Ho, computed with PBE-GGA.

The structure in POSCAR format:
```
CaPm2Ho
1.0
-0.468 -3.563 0.588
1.939 -2.429 -1.898
9.151 -1.731 8.073
Ca Ho Pm
1 1 2
direct
0.500 0.500 0.500
0.000 0.000 0.000
0.745 0.745 0.765
0.255 0.255 0.235
```

Computed properties:
**SG**: R-3m
**Energy relative to the elements**: 0.16 eV per formula unit
**Total magnetization**: 0.0 μB per formula unit
**Offset from the most stable computed form**: 0 meV per atom
**Total DFT energy (no corrections)**: -3.980 eV per atom
**Theoretical density**: 5893 kg/m3